TbTmHg6: optimized geometry, PBE-GGA.

Properties
**E_form**: -32.05 kJ/mol of atoms
**Final energy**: -1.69 eV per atom

Cell: 6.5868 6.5868 4.9940 Å, 90.00 90.00 120.00°
Space group P-6m2 (No. 187)
Asymmetric unit:
1 Tb 0.0000 0.0000 0.0000 [1 per cell]
2 Tm 0.3333 0.6667 0.5000 [1 per cell]
3 Hg 0.0010 0.5005 0.0000 [3 per cell]
4 Hg 0.3341 0.1670 0.5000 [3 per cell]